Below is a relaxed MnCuO3 crystal, with properties calculated at the GGA+U level.

a b c (Å): 5.1666 6.4447 7.4429
angles (deg): 109.94 90.00 90.00
Site moments in Bohr magnetons follow the coordinates.
Fractional coordinates of all 20 atoms:
Mn: 0.1791 0.3909 0.1232  4.10
Mn: 0.3209 0.8909 0.6232  4.10
Mn: 0.6791 0.1091 0.3768  4.10
Mn: 0.8209 0.6091 0.8768  4.10
Cu: 0.7845 0.6228 0.5203  0.06
Cu: 0.7155 0.1228 0.0203  0.06
Cu: 0.2845 0.8772 0.9797  0.06
Cu: 0.2155 0.3772 0.4797  0.06
O: 0.4777 0.3496 0.3003  -0.09
O: 0.1120 0.6216 0.4078  -0.04
O: 0.0223 0.8496 0.8003  -0.09
O: 0.6610 0.8723 0.4915  -0.13
O: 0.3880 0.1216 0.9078  -0.04
O: 0.1610 0.6277 0.0085  -0.13
O: 0.8390 0.3723 0.9915  -0.13
O: 0.6120 0.8784 0.0922  -0.04
O: 0.3390 0.1277 0.5085  -0.13
O: 0.9777 0.1504 0.1997  -0.09
O: 0.8880 0.3784 0.5922  -0.04
O: 0.5223 0.6504 0.6997  -0.09

Results
Its calculated total energy is -0.452 Ry per atom. For the density of states at the Fermi level, the calculation gives 0.77 states/eV/f.u.